Compound: AcPmDyY3
Source: the Alexandria database
Functional: PBE
Structure: optimized geometry

Unit cell a=5.711 b=10.556 c=7.314 alpha=89.93 beta=90.00 gamma=105.69
Atoms (fractional coordinates):
Dy 0.651 0.302 0.466
Dy 0.349 0.698 0.534
Pm 0.056 0.111 0.290
Pm 0.944 0.889 0.710
Y 0.780 0.560 0.749
Y 0.165 0.330 0.725
Y 0.522 0.043 0.725
Y 0.835 0.670 0.275
Y 0.478 0.957 0.275
Y 0.220 0.440 0.251
Ac 0.356 0.711 0.970
Ac 0.644 0.289 0.030

formation enthalpy at 0 K: 1.4 eV per formula unit
V: 212.2 Å³/f.u.
ρ: 6268 kg/m³
DFT total energy: -5.25 eV/atom


Compound: AcPmDyZn
Source: the Alexandria database
Functional: PBE
Structure: optimized geometry

Unit cell a=5.571 b=5.571 c=5.571 alpha=60.00 beta=60.00 gamma=60.00
Atoms (fractional coordinates):
Ac 0.500 0.500 0.500
Dy 0.250 0.250 0.250
Pm 0.750 0.750 0.750
Zn 0.000 0.000 0.000

formation enthalpy at 0 K: 0.7 eV per formula unit
V: 122.3 Å³/f.u.
relative energy among the computed polymorphs: 292 meV/atom
ρ: 8148 kg/m³
DFT total energy: -3.52 eV/atom


Compound: AcPmDyZn
Source: the Alexandria database
Functional: PBE
Structure: optimized geometry

Unit cell a=3.704 b=3.704 c=8.996 alpha=90.00 beta=90.00 gamma=90.00
Atoms (fractional coordinates):
Pm 0.500 0.500 0.376
Dy 0.500 0.500 0.764
Ac 0.000 0.000 0.065
Zn 0.000 0.000 0.580

formation enthalpy at 0 K: -0.5 eV per formula unit
V: 123.4 Å³/f.u.
relative energy among the computed polymorphs: 0 meV/atom
ρ: 8072 kg/m³
DFT total energy: -3.81 eV/atom


Compound: Ac3Pr2Dy2
Source: the Alexandria database
Functional: PBE
Structure: optimized geometry

Unit cell a=5.680 b=3.753 c=12.952 alpha=90.00 beta=77.33 gamma=90.00
Atoms (fractional coordinates):
Dy 0.285 0.500 0.430
Dy 0.715 0.500 0.570
Ac 0.154 0.000 0.691
Ac 0.000 0.000 0.000
Ac 0.846 0.000 0.309
Pr 0.426 0.500 0.148
Pr 0.574 0.500 0.852

formation enthalpy at 0 K: 0.3 eV per formula unit
V: 269.4 Å³/f.u.
ρ: 7937 kg/m³
DFT total energy: -4.39 eV/atom


Compound: AcPr6Dy12
Source: the Alexandria database
Functional: PBE
Structure: optimized geometry

Unit cell a=8.845 b=8.845 c=8.845 alpha=99.02 beta=99.02 gamma=99.02
Atoms (fractional coordinates):
Ac 0.000 0.000 0.000
Dy 0.243 0.500 0.757
Dy 0.920 0.643 0.643
Dy 0.357 0.357 0.080
Dy 0.757 0.243 0.500
Dy 0.500 0.243 0.757
Dy 0.080 0.357 0.357
Dy 0.243 0.757 0.500
Dy 0.357 0.080 0.357
Dy 0.500 0.757 0.243
Dy 0.757 0.500 0.243
Dy 0.643 0.643 0.920
Dy 0.643 0.920 0.643
Pr 0.898 0.898 0.348
Pr 0.102 0.102 0.652
Pr 0.102 0.652 0.102
Pr 0.348 0.898 0.898
Pr 0.652 0.102 0.102
Pr 0.898 0.348 0.898

formation enthalpy at 0 K: 3.9 eV per formula unit
V: 663.3 Å³/f.u.
ρ: 7567 kg/m³
DFT total energy: -4.43 eV/atom


Compound: Ac2Pr3Dy
Source: the Alexandria database
Functional: PBE
Structure: optimized geometry

Unit cell a=5.363 b=11.895 c=8.446 alpha=114.94 beta=108.57 gamma=89.97
Atoms (fractional coordinates):
Ac 0.464 0.130 0.927
Ac 0.209 0.870 0.417
Ac 0.791 0.130 0.583
Ac 0.536 0.870 0.073
Dy 0.875 0.871 0.749
Dy 0.125 0.129 0.251
Pr 0.046 0.382 0.092
Pr 0.709 0.378 0.418
Pr 0.291 0.622 0.582
Pr 0.954 0.618 0.908
Pr 0.375 0.379 0.750
Pr 0.625 0.621 0.250

formation enthalpy at 0 K: 0.2 eV per formula unit
V: 228.7 Å³/f.u.
ρ: 7544 kg/m³
DFT total energy: -4.49 eV/atom


Compound: Ac7Pr12Dy
Source: the Alexandria database
Functional: PBE
Structure: optimized geometry

Unit cell a=10.596 b=10.596 c=10.596 alpha=109.47 beta=109.47 gamma=109.47
Atoms (fractional coordinates):
Pr 0.241 0.564 0.323
Pr 0.677 0.759 0.436
Pr 0.241 0.918 0.677
Pr 0.759 0.436 0.677
Pr 0.323 0.759 0.082
Pr 0.759 0.082 0.323
Pr 0.436 0.677 0.759
Pr 0.918 0.677 0.241
Pr 0.564 0.323 0.241
Pr 0.323 0.241 0.564
Pr 0.082 0.323 0.759
Pr 0.677 0.241 0.918
Ac 0.000 0.500 0.500
Ac 0.500 0.000 0.500
Ac 0.000 0.000 0.500
Ac 0.500 0.500 0.000
Ac 0.000 0.500 0.000
Ac 0.500 0.500 0.500
Ac 0.500 0.000 0.000
Dy 0.000 0.000 0.000

formation enthalpy at 0 K: 15.7 eV per formula unit
V: 915.7 Å³/f.u.
ρ: 6242 kg/m³
DFT total energy: -3.75 eV/atom


Compound: AcPr7Dy12
Source: the Alexandria database
Functional: PBE
Structure: optimized geometry

Unit cell a=9.897 b=9.897 c=9.897 alpha=109.47 beta=109.47 gamma=109.47
Atoms (fractional coordinates):
Dy 0.253 0.746 0.999
Dy 0.747 0.254 0.001
Dy 0.999 0.253 0.746
Dy 0.746 0.999 0.253
Dy 0.253 0.254 0.508
Dy 0.254 0.508 0.253
Dy 0.492 0.747 0.746
Dy 0.254 0.001 0.747
Dy 0.508 0.253 0.254
Dy 0.001 0.747 0.254
Dy 0.747 0.746 0.492
Dy 0.746 0.492 0.747
Ac 0.000 0.000 0.000
Pr 0.500 0.000 0.500
Pr 0.000 0.500 0.000
Pr 0.000 0.000 0.500
Pr 0.000 0.500 0.500
Pr 0.500 0.500 0.500
Pr 0.500 0.000 0.000
Pr 0.500 0.500 0.000

formation enthalpy at 0 K: 11.9 eV per formula unit
V: 746.3 Å³/f.u.
ρ: 7039 kg/m³
DFT total energy: -4.05 eV/atom